# 1
# CaZnSe2, relaxed, DFT PBE-GGA
# DFT total energy ... -3.4331 eV per atom
data_CaZnSe2
_symmetry_space_group_name_H-M 'C m m m'
_symmetry_Int_Tables_number 65
_symmetry_space_group_name_Hall '-C 2 2'
_cell_length_a 3.885
_cell_length_b 7.708
_cell_length_c 7.491
_cell_angle_alpha 90.00
_cell_angle_beta 90.00
_cell_angle_gamma 90.00
loop_
_atom_site_label
_atom_site_fract_x
_atom_site_fract_y
_atom_site_fract_z
_atom_site_occupancy
Ca1 0.000 0.000 0.000 1
Zn1 0.000 0.000 0.500 1
Se1 0.000 0.500 0.273 1


# 2
# Ca3Hg3Au2, relaxed, DFT PBE-GGA
# DFT total energy ... -2.2959 eV per atom
# N(E_F) ... 4.402 states/eV/f.u.
# ΔE_f ... -0.613 eV/atom
data_Ca3Hg3Au2
_symmetry_space_group_name_H-M 'P -6 2 m'
_symmetry_Int_Tables_number 189
_symmetry_space_group_name_Hall 'P -6 -2'
_cell_length_a 7.8073
_cell_length_b 7.8073
_cell_length_c 3.8846
_cell_angle_alpha 90.00
_cell_angle_beta 90.00
_cell_angle_gamma 120.00
loop_
_atom_site_label
_atom_site_fract_x
_atom_site_fract_y
_atom_site_fract_z
_atom_site_occupancy
Ca1 0.0000 0.4031 0.0000 1
Hg1 0.0000 0.7641 0.5000 1
Au1 0.3333 0.6667 0.5000 1


# 3
# LiNb2Cl, relaxed, DFT PBE-GGA
# DFT total energy ... -5.2555 eV per atom
# N(E_F) ... 3.169 states/eV/f.u.
data_LiNb2Cl
_symmetry_space_group_name_H-M 'F m -3 m'
_symmetry_Int_Tables_number 225
_symmetry_space_group_name_Hall '-F 4 2 3'
_cell_length_a 6.318
_cell_length_b 6.318
_cell_length_c 6.318
_cell_angle_alpha 90.00
_cell_angle_beta 90.00
_cell_angle_gamma 90.00
loop_
_atom_site_label
_atom_site_fract_x
_atom_site_fract_y
_atom_site_fract_z
_atom_site_occupancy
Li1 0.000 0.000 0.000 1
Nb1 0.250 0.250 0.250 1
Cl1 0.000 0.000 0.500 1


# 4
# BeSiSb, relaxed, DFT PBE-GGA
# DFT total energy ... -4.1646 eV per atom
# N(E_F) ... 0.827 states/eV/f.u.
data_BeSiSb
_symmetry_space_group_name_H-M 'P 1 21/m 1'
_symmetry_Int_Tables_number 11
_symmetry_space_group_name_Hall '-P 2yb'
_cell_length_a 4.223
_cell_length_b 4.436
_cell_length_c 6.336
_cell_angle_alpha 90.00
_cell_angle_beta 109.22
_cell_angle_gamma 90.00
loop_
_atom_site_label
_atom_site_fract_x
_atom_site_fract_y
_atom_site_fract_z
_atom_site_occupancy
Be1 0.147 0.250 0.062 1
Si1 0.418 0.750 0.073 1
Sb1 0.208 0.250 0.478 1


# 5
# BeCdFeOs2, relaxed, DFT PBE-GGA
# DFT total energy ... -4.2678 eV per atom
# N(E_F) ... 5.849 states/eV/f.u.
# ΔE_f ... 2.845 eV/atom
data_BeCdFeOs2
_symmetry_space_group_name_H-M 'P 4/m m m'
_symmetry_Int_Tables_number 123
_symmetry_space_group_name_Hall '-P 4 2'
_cell_length_a 4.864
_cell_length_b 4.864
_cell_length_c 4.582
_cell_angle_alpha 90.00
_cell_angle_beta 90.00
_cell_angle_gamma 90.00
loop_
_atom_site_label
_atom_site_fract_x
_atom_site_fract_y
_atom_site_fract_z
_atom_site_occupancy
Be1 0.000 0.000 0.000 1
Cd1 0.500 0.500 0.500 1
Fe1 0.500 0.500 0.000 1
Os1 0.000 0.500 0.500 1


# 6
# HoPa2TlO8, relaxed, DFT PBE-GGA
# DFT total energy ... -8.4869 eV per atom
# N(E_F) ... 0.000 states/eV/f.u.
data_HoPa2TlO8
_symmetry_space_group_name_H-M 'I -4'
_symmetry_Int_Tables_number 82
_symmetry_space_group_name_Hall 'I -4'
_cell_length_a 5.424
_cell_length_b 5.424
_cell_length_c 10.902
_cell_angle_alpha 90.00
_cell_angle_beta 90.00
_cell_angle_gamma 90.00
loop_
_atom_site_label
_atom_site_fract_x
_atom_site_fract_y
_atom_site_fract_z
_atom_site_occupancy
Ho1 0.000 0.000 0.000 1
Pa1 0.000 0.000 0.500 1
Pa2 0.000 0.500 0.250 1
Tl1 0.000 0.500 0.750 1
O1 0.215 0.727 0.392 1
O2 0.240 0.745 0.638 1


# 7
# Fe2TcRh, relaxed, DFT PBE-GGA
# DFT total energy ... -8.5973 eV per atom
# N(E_F) ... 4.425 states/eV/f.u.
# ΔE_f ... 0.063 eV/atom
data_Fe2TcRh
_symmetry_space_group_name_H-M 'I 4/m m m'
_symmetry_Int_Tables_number 139
_symmetry_space_group_name_Hall '-I 4 2'
_cell_length_a 3.737
_cell_length_b 3.737
_cell_length_c 7.409
_cell_angle_alpha 90.00
_cell_angle_beta 90.00
_cell_angle_gamma 90.00
loop_
_atom_site_label
_atom_site_fract_x
_atom_site_fract_y
_atom_site_fract_z
_atom_site_occupancy
Fe1 0.000 0.500 0.250 1
Tc1 0.000 0.000 0.000 1
Rh1 0.000 0.000 0.500 1


# 8
# Y4HoTe5, relaxed, DFT PBE-GGA
# DFT total energy ... -5.9128 eV per atom
# N(E_F) ... 6.002 states/eV/f.u.
data_Y4HoTe5
_symmetry_space_group_name_H-M 'I 4/m m m'
_symmetry_Int_Tables_number 139
_symmetry_space_group_name_Hall '-I 4 2'
_cell_length_a 4.324
_cell_length_b 4.324
_cell_length_c 31.437
_cell_angle_alpha 90.00
_cell_angle_beta 90.00
_cell_angle_gamma 90.00
loop_
_atom_site_label
_atom_site_fract_x
_atom_site_fract_y
_atom_site_fract_z
_atom_site_occupancy
Y1 0.000 0.000 0.106 1
Y2 0.000 0.000 0.309 1
Ho1 0.000 0.000 0.500 1
Te1 0.000 0.000 0.000 1
Te2 0.000 0.000 0.206 1
Te3 0.000 0.000 0.405 1


# 9
# SrTcBr, relaxed, DFT PBE-GGA
# DFT total energy ... -3.7249 eV per atom
# N(E_F) ... 7.277 states/eV/f.u.
data_SrTcBr
_symmetry_space_group_name_H-M 'F -4 3 m'
_symmetry_Int_Tables_number 216
_symmetry_space_group_name_Hall 'F -4 2 3'
_cell_length_a 7.613
_cell_length_b 7.613
_cell_length_c 7.613
_cell_angle_alpha 90.00
_cell_angle_beta 90.00
_cell_angle_gamma 90.00
loop_
_atom_site_label
_atom_site_fract_x
_atom_site_fract_y
_atom_site_fract_z
_atom_site_occupancy
Sr1 0.000 0.000 0.000 1
Tc1 0.250 0.250 0.250 1
Br1 0.250 0.250 0.750 1


# 10
# Hg6P2IBr2, relaxed, DFT PBE-GGA
# DFT total energy ... -1.6956 eV per atom
# N(E_F) ... 2.020 states/eV/f.u.
data_Hg6P2IBr2
_symmetry_space_group_name_H-M 'P -1'
_symmetry_Int_Tables_number 2
_symmetry_space_group_name_Hall '-P 1'
_cell_length_a 6.969
_cell_length_b 8.041
_cell_length_c 8.598
_cell_angle_alpha 106.42
_cell_angle_beta 100.60
_cell_angle_gamma 109.55
loop_
_atom_site_label
_atom_site_fract_x
_atom_site_fract_y
_atom_site_fract_z
_atom_site_occupancy
Hg1 0.132 0.139 0.463 1
Hg2 0.172 0.696 0.624 1
Hg3 0.338 0.348 0.136 1
P1 0.466 0.355 0.421 1
I1 0.500 0.000 0.000 1
Br1 0.171 0.378 0.863 1


# 11
# SiSn, relaxed, DFT PBE-GGA
# DFT total energy ... -4.4855 eV per atom
# N(E_F) ... 0.064 states/eV/f.u.
data_SiSn
_symmetry_space_group_name_H-M 'P 42/m n m'
_symmetry_Int_Tables_number 136
_symmetry_space_group_name_Hall '-P 4n 2n'
_cell_length_a 7.411
_cell_length_b 7.411
_cell_length_c 4.284
_cell_angle_alpha 90.00
_cell_angle_beta 90.00
_cell_angle_gamma 90.00
loop_
_atom_site_label
_atom_site_fract_x
_atom_site_fract_y
_atom_site_fract_z
_atom_site_occupancy
Si1 0.178 0.178 0.000 1
Sn1 0.180 0.820 0.000 1


# 12
# TaCrN, relaxed, DFT PBE-GGA
# DFT total energy ... -10.4168 eV per atom
# N(E_F) ... 2.155 states/eV/f.u.
data_TaCrN
_symmetry_space_group_name_H-M 'P 1 m 1'
_symmetry_Int_Tables_number 6
_symmetry_space_group_name_Hall 'P -2y'
_cell_length_a 4.776
_cell_length_b 2.906
_cell_length_c 5.575
_cell_angle_alpha 90.00
_cell_angle_beta 114.54
_cell_angle_gamma 90.00
loop_
_atom_site_label
_atom_site_fract_x
_atom_site_fract_y
_atom_site_fract_z
_atom_site_occupancy
Ta1 0.000 0.000 0.000 1
Ta2 0.420 0.500 0.542 1
Cr1 0.548 0.500 0.075 1
Cr2 0.916 0.000 0.507 1
N1 0.150 0.500 0.765 1
N2 0.482 0.000 0.280 1


The highest DFT total energy belongs to which entry?
Hg6P2IBr2


Look up the DFT total energy of the sixth one.
-8.4869 eV per atom